#P
Below is an optimized crystal structure of CrAgAs, with properties calculated at the PBE level.

Its crystal system is tetragonal. The value obtained for the volume is 16.95 Å³/atom. Its magnetic moment is 2.8 μB per formula unit.

It has space group P4/nmm (No. 129, origin choice 2), with a = 3.4023 Å, b = 3.4023 Å, c = 8.7873 Å, α = 90.00°, β = 90.00° and γ = 90.00°. The inequivalent atoms are Cr at (0.2500, 0.2500, 0.2005), Ag at (0.2500, 0.2500, 0.5818) and As at (0.2500, 0.2500, 0.8872).

***

#Q
Below is an optimized crystal structure of CrAgAs, with properties calculated at the PBE level.

Its crystal system is trigonal. The value obtained for the volume is 16.25 Å³/atom. Its magnetic moment is 0.0 μB per formula unit.

It has space group P3m1 (No. 156), with a = 2.9391 Å, b = 2.9391 Å, c = 6.5152 Å, α = 90.00°, β = 90.00° and γ = 120.00°. The inequivalent atoms are Cr at (0.0000, 0.0000, 0.0000), Ag at (0.6667, 0.3333, 0.3451) and As at (0.3333, 0.6667, 0.7388).

***

#R
Below is an optimized crystal structure of CrAgAs, with properties calculated at the PBE level.

Its crystal system is tetragonal. The value obtained for the volume is 17.06 Å³/atom. Its magnetic moment is 2.1 μB per formula unit.

It has space group P4/nmm (No. 129, origin choice 2), with a = 4.0693 Å, b = 4.0693 Å, c = 6.1830 Å, α = 90.00°, β = 90.00° and γ = 90.00°. The inequivalent atoms are Cr at (0.2500, 0.7500, 0.0000), Ag at (0.2500, 0.2500, 0.3446) and As at (0.2500, 0.2500, 0.7740).

***

The calculated energies rank the structures as follows, beginning with the most stable: #R, #P, #Q.